[1]
Below is a relaxed structure of Tl2SiW, with properties calculated at the PBE level.

a b c (Å): 6.3257 6.3257 6.3257
angles (deg): 101.00 101.00 128.20
Sites, in units of the cell vectors:
1 Tl 0.1193 0.1250 0.4943
2 Tl 0.3750 0.8807 0.0057
3 Tl 0.6307 0.6250 0.5057
4 Tl 0.8750 0.3693 0.9943
5 Si 0.2500 0.7500 0.5000
6 Si 0.5000 0.5000 0.0000
7 W 0.0000 0.0000 0.0000
8 W 0.7500 0.2500 0.5000

Computed properties:
The mass density comes out at 11.520 g/cm³. The total magnetization is 0.31 μB per atom. The value obtained for the formation energy from raw total energies is 490 kJ/mol of formula units. As for the offset from the most stable computed form: 810 meV/atom. The raw total energy comes out at -4.51 eV per atom.

[2]
Below is a relaxed structure of Nd3ErSb4, with properties calculated at the PBE level.

a b c (Å): 7.7640 7.7640 4.4872
angles (deg): 90.00 90.00 109.49
Sites, in units of the cell vectors:
1 Nd 0.0000 0.0000 0.0000
2 Nd 0.0000 0.5000 0.5000
3 Nd 0.5000 0.0000 0.5000
4 Er 0.5000 0.5000 0.0000
5 Sb 0.2538 0.7462 0.0000
6 Sb 0.2574 0.2574 0.5000
7 Sb 0.7426 0.7426 0.5000
8 Sb 0.7462 0.2538 0.0000

Computed properties:
The mass density comes out at 7.079 g/cm³. The total magnetization is 0.00 μB per atom. The value obtained for the formation energy from raw total energies is -894 kJ/mol of formula units. As for the offset from the most stable computed form: 0 meV/atom. The raw total energy comes out at -5.58 eV per atom.

[3]
Below is a relaxed structure of TcOs4Cl2, with properties calculated at the PBE level.

a b c (Å): 6.9576 6.9576 6.9576
angles (deg): 139.83 139.83 58.12
Sites, in units of the cell vectors:
1 Tc 0.0000 0.0000 0.0000
2 Os 0.0000 0.5000 0.5000
3 Os 0.1994 0.1994 0.0000
4 Os 0.5000 0.0000 0.5000
5 Os 0.8006 0.8006 0.0000
6 Cl 0.3848 0.3848 0.0000
7 Cl 0.6152 0.6152 0.0000

Computed properties:
The mass density comes out at 11.115 g/cm³. The total magnetization is 0.44 μB per atom. The value obtained for the formation energy from raw total energies is 1567 kJ/mol of formula units. The raw total energy comes out at -6.10 eV per atom.

[4]
Below is a relaxed structure of PaMnNbMo, with properties calculated at the PBE level.

a b c (Å): 4.6292 4.6292 4.6292
angles (deg): 60.00 60.00 60.00
Sites, in units of the cell vectors:
1 Pa 0.0000 0.0000 0.0000
2 Mn 0.7500 0.7500 0.7500
3 Nb 0.5000 0.5000 0.5000
4 Mo 0.2500 0.2500 0.2500

Computed properties:
The mass density comes out at 11.240 g/cm³. The total magnetization is 0.06 μB per atom. The raw total energy comes out at -9.83 eV per atom. The formation energy comes out at 63 meV per atom.

[5]
Below is a relaxed structure of Pm3Sm4Er5, with properties calculated at the PBE level.

a b c (Å): 6.2031 7.1610 8.7702
angles (deg): 90.03 90.10 90.12
Sites, in units of the cell vectors:
1 Pm 0.0000 0.0000 0.0000
2 Pm 0.1676 0.7505 0.6676
3 Pm 0.8324 0.2495 0.3324
4 Sm 0.1681 0.2496 0.6677
5 Sm 0.3321 0.5003 0.3307
6 Sm 0.6679 0.4997 0.6693
7 Sm 0.8319 0.7504 0.3323
8 Er 0.0000 0.5000 0.0000
9 Er 0.3347 0.0000 0.3308
10 Er 0.4997 0.2493 0.9999
11 Er 0.5003 0.7507 0.0001
12 Er 0.6653 0.0000 0.6692

Computed properties:
The mass density comes out at 7.982 g/cm³. The total magnetization is 0.00 μB per atom. As for the offset from the most stable computed form: 0 meV/atom. The raw total energy comes out at -4.65 eV per atom. The formation energy comes out at 17 meV per atom.

[6]
Below is a relaxed structure of Ag2Pt, with properties calculated at the PBE level.

a b c (Å): 5.7775 5.7775 6.4192
angles (deg): 102.94 102.94 89.09
Sites, in units of the cell vectors:
1 Ag 0.0809 0.5834 0.3321
2 Ag 0.0857 0.0857 0.3281
3 Ag 0.2457 0.2457 0.9949
4 Ag 0.4166 0.9191 0.6679
5 Ag 0.5834 0.0809 0.3321
6 Ag 0.7543 0.7543 0.0051
7 Ag 0.9143 0.9143 0.6719
8 Ag 0.9191 0.4166 0.6679
9 Pt 0.2598 0.7402 0.0000
10 Pt 0.4232 0.4232 0.6655
11 Pt 0.5768 0.5768 0.3345
12 Pt 0.7402 0.2598 0.0000

Computed properties:
The mass density comes out at 13.416 g/cm³. The total magnetization is 0.00 μB per atom. As for the offset from the most stable computed form: 33 meV/atom. The raw total energy comes out at -3.90 eV per atom. The formation energy comes out at 19 meV per atom.

[7]
Below is a relaxed structure of Tb2Dy12Th, with properties calculated at the PBE level.

a b c (Å): 6.6621 6.6621 24.6543
angles (deg): 90.00 90.00 116.71
Sites, in units of the cell vectors:
1 Tb 0.2500 0.7500 0.2321
2 Tb 0.2500 0.7500 0.7681
3 Tb 0.7500 0.2500 0.2319
4 Tb 0.7500 0.2500 0.7679
5 Dy 0.0000 0.0000 0.4234
6 Dy 0.0000 0.0000 0.5766
7 Dy 0.0001 0.5001 0.3736
8 Dy 0.9999 0.4999 0.6264
9 Dy 0.0006 0.5006 0.0867
10 Dy 0.0007 0.9993 0.9374
11 Dy 0.2500 0.2500 0.1738
12 Dy 0.2500 0.2500 0.3007
13 Dy 0.2500 0.2500 0.6993
14 Dy 0.2500 0.2500 0.8262
15 Dy 0.4993 0.5007 0.9374
16 Dy 0.4994 0.9994 0.0867
17 Dy 0.4999 0.9999 0.3736
18 Dy 0.5001 0.0001 0.6264
19 Dy 0.5000 0.5000 0.4234
20 Dy 0.5000 0.5000 0.5766
21 Dy 0.5006 0.0006 0.9133
22 Dy 0.5007 0.4993 0.0626
23 Dy 0.7500 0.7500 0.1738
24 Dy 0.7500 0.7500 0.3007
25 Dy 0.7500 0.7500 0.6993
26 Dy 0.7500 0.7500 0.8262
27 Dy 0.9993 0.0007 0.0626
28 Dy 0.9994 0.4994 0.9133
29 Th 0.2500 0.7500 0.5000
30 Th 0.7500 0.2500 0.5000

Computed properties:
The mass density comes out at 8.494 g/cm³. The total magnetization is 0.00 μB per atom. The raw total energy comes out at -4.61 eV per atom. The formation energy comes out at 179 meV per atom.

[8]
Below is a relaxed structure of Dy2B2C3, with properties calculated at the PBE level.

a b c (Å): 5.3780 5.3780 5.2175
angles (deg): 93.86 93.86 32.56
Sites, in units of the cell vectors:
1 Dy 0.1416 0.1416 0.2560
2 Dy 0.8584 0.8584 0.7440
3 B 0.3938 0.3938 0.1922
4 B 0.6062 0.6062 0.8078
5 C 0.1653 0.1653 0.7351
6 C 0.5000 0.5000 0.0000
7 C 0.8347 0.8347 0.2649

Computed properties:
The mass density comes out at 7.843 g/cm³. The total magnetization is 0.00 μB per atom. The raw total energy comes out at -7.37 eV per atom. The formation energy comes out at -191 meV per atom.

[9]
Below is a relaxed structure of Y4AlPd, with properties calculated at the PBE level.

a b c (Å): 8.1897 8.1897 5.8838
angles (deg): 103.73 103.73 114.16
Sites, in units of the cell vectors:
1 Y 0.0623 0.6928 0.9150
2 Y 0.2226 0.3642 0.6851
3 Y 0.3072 0.9377 0.5850
4 Y 0.3642 0.2226 0.1851
5 Y 0.6358 0.7774 0.8149
6 Y 0.6928 0.0623 0.4150
7 Y 0.7774 0.6358 0.3149
8 Y 0.9377 0.3072 0.0850
9 Al 0.3733 0.6267 0.2500
10 Al 0.6267 0.3733 0.7500
11 Pd 0.9996 0.0004 0.2500
12 Pd 0.0004 0.9996 0.7500

Computed properties:
The mass density comes out at 5.014 g/cm³. The total magnetization is 0.00 μB per atom. The raw total energy comes out at -6.18 eV per atom. The formation energy comes out at -378 meV per atom.

[10]
Below is a relaxed structure of SmEuAl, with properties calculated at the PBE level.

a b c (Å): 9.5256 9.5256 9.5256
angles (deg): 160.15 160.15 28.21
Sites, in units of the cell vectors:
1 Sm 0.0000 0.0000 0.0000
2 Eu 0.6596 0.6596 0.0000
3 Al 0.8326 0.8326 0.0000

Computed properties:
The mass density comes out at 5.491 g/cm³. The total magnetization is 2.49 μB per atom. As for the offset from the most stable computed form: 592 meV/atom. The raw total energy comes out at -5.73 eV per atom. The formation energy comes out at 512 meV per atom.

[11]
Below is a relaxed structure of CaMg2Os, with properties calculated at the PBE level.

a b c (Å): 5.6921 5.6921 5.6921
angles (deg): 143.70 129.23 64.00
Sites, in units of the cell vectors:
1 Ca 0.0000 0.0000 0.0000
2 Mg 0.2868 0.7868 0.5000
3 Mg 0.7132 0.2132 0.5000
4 Os 0.5000 0.5000 0.0000

Computed properties:
The mass density comes out at 5.543 g/cm³. The total magnetization is 0.00 μB per atom. The raw total energy comes out at -3.87 eV per atom. The formation energy comes out at 234 meV per atom.